1 | First-principles (PBE) data for a relaxed structure of CaCeCo, as listed in the Alexandria database.

```
data_CaCeCo
_symmetry_space_group_name_H-M 'C 1 2/m 1'
_symmetry_Int_Tables_number 12
_cell_length_a 5.292
_cell_length_b 5.159
_cell_length_c 11.490
_cell_angle_alpha 90.00
_cell_angle_beta 96.18
_cell_angle_gamma 90.00
loop_
_symmetry_equiv_pos_as_xyz
'x,y,z'
'-x,-y,-z'
'-x,y,-z'
'x,-y,z'
'x+1/2,y+1/2,z'
'-x+1/2,-y+1/2,-z'
'-x+1/2,y+1/2,-z'
'x+1/2,-y+1/2,z'
loop_
_atom_site_label
_atom_site_fract_x
_atom_site_fract_y
_atom_site_fract_z
Ca1 0.218 0.000 0.371
Ce1 0.154 0.500 0.129
Co1 0.111 0.000 0.105
```

- Mass density: 5.09 Mg/m³
- D(E_F): 15.0 states/eV/cell
- Magnetic moment: 0.0 μB/f.u.


2 | First-principles (PBE) data for a relaxed structure of CaCeCo, as listed in the Alexandria database.

```
data_CaCeCo
_symmetry_space_group_name_H-M 'I 4 m m'
_symmetry_Int_Tables_number 107
_symmetry_space_group_name_Hall 'I 4 -2'
_cell_length_a 3.373
_cell_length_b 3.373
_cell_length_c 13.093
_cell_angle_alpha 90.00
_cell_angle_beta 90.00
_cell_angle_gamma 90.00
loop_
_atom_site_label
_atom_site_fract_x
_atom_site_fract_y
_atom_site_fract_z
Ca1 0.000 0.000 0.000
Ce1 0.000 0.000 0.251
Co1 0.000 0.000 0.652
```

- Mass density: 5.33 Mg/m³
- D(E_F): 10.8 states/eV/cell
- Magnetic moment: 0.5 μB/f.u.


Most favorable structure: 1. The second most favorable one is 140 meV/atom above it.